A plane-wave DFT calculation with PBEsol was carried out for SiPS2Br after structural relaxation.

a b c (Å): 4.761 4.761 4.768
angles (deg): 90.00 90.00 90.00
Element x y z (fractional)
Si 0.000 0.000 0.000
P 0.500 0.500 0.000
S 0.000 0.500 0.500
S 0.500 0.000 0.500
Br 0.500 0.500 0.500

Computed properties:
Uncorrected formation energy ... 1304.1 meV per atom
Space-group type ... P4/mmm (123)

***

A plane-wave DFT calculation with PBEsol was carried out for LiFePO4 after structural relaxation.

a b c (Å): 5.780 7.011 9.242
angles (deg): 107.90 95.66 100.37
Element x y z (fractional)
Li 0.005 0.008 0.251
Li 0.127 0.515 0.391
Li 0.873 0.485 0.609
Li 0.995 0.992 0.749
Fe 0.388 0.538 0.138
Fe 0.494 0.960 0.243
Fe 0.506 0.040 0.757
Fe 0.612 0.462 0.862
P 0.177 0.742 0.928
P 0.305 0.244 0.554
P 0.695 0.756 0.446
P 0.823 0.258 0.072
O 0.073 0.386 0.151
O 0.130 0.377 0.542
O 0.182 0.871 0.098
O 0.234 0.109 0.656
O 0.262 0.880 0.835
O 0.314 0.104 0.389
O 0.350 0.595 0.938
O 0.439 0.629 0.365
O 0.561 0.371 0.635
O 0.650 0.405 0.062
O 0.686 0.896 0.611
O 0.738 0.120 0.165
O 0.766 0.891 0.344
O 0.818 0.129 0.902
O 0.870 0.623 0.458
O 0.927 0.614 0.849

Computed properties:
Uncorrected formation energy ... -1909.4 meV per atom
E above lowest polymorph ... 2 meV per atom
Space-group type ... P-1 (2)

***

A plane-wave DFT calculation with PBEsol was carried out for Mg2InRh after structural relaxation.

a b c (Å): 3.390 3.390 6.258
angles (deg): 90.00 90.00 90.00
Element x y z (fractional)
Mg 0.000 0.000 0.000
Mg 0.500 0.500 0.280
In 0.500 0.500 0.724
Rh 0.000 0.000 0.491

Computed properties:
VASP energy ... -3.910 eV per atom
Space-group type ... P4mm (99)

***

A plane-wave DFT calculation with PBEsol was carried out for PIrPtO2 after structural relaxation.

a b c (Å): 3.575 3.575 6.585
angles (deg): 90.00 90.00 90.00
Element x y z (fractional)
P 0.000 0.000 0.000
Ir 0.500 0.500 0.000
Pt 0.000 0.000 0.500
O 0.000 0.500 0.500
O 0.500 0.000 0.500

Computed properties:
Uncorrected formation energy ... 553.2 meV per atom
E above lowest polymorph ... 585 meV per atom
Space-group type ... P4/mmm (123)